VASP calculation (PBE+U) on a relaxed structure of K2CoH12Se2O14.

Crystal system: monoclinic
Magnetic moment: 3.0 μB per formula unit
Electronic total energy: -5.1057 eV/atom

Lattice parameters (Å, degrees): 6.386 12.516 9.297 90.00 103.17 90.00
Fractional coordinates of all 62 atoms:
K  0.166  0.162  0.362
K  0.166  0.338  0.862
K  0.834  0.662  0.138
K  0.834  0.838  0.638
Co  0.500  0.000  0.000
Co  0.500  0.500  0.500
H  0.167  0.638  0.475
H  0.167  0.862  0.975
H  0.175  0.561  0.614
H  0.175  0.939  0.114
H  0.181  0.082  0.784
H  0.181  0.418  0.284
H  0.402  0.122  0.750
H  0.402  0.378  0.250
H  0.419  0.601  0.235
H  0.419  0.899  0.735
H  0.499  0.689  0.359
H  0.499  0.811  0.859
H  0.501  0.189  0.141
H  0.501  0.311  0.641
H  0.581  0.101  0.265
H  0.581  0.399  0.765
H  0.598  0.622  0.750
H  0.598  0.878  0.250
H  0.819  0.582  0.716
H  0.819  0.918  0.216
H  0.825  0.061  0.886
H  0.825  0.439  0.386
H  0.833  0.138  0.025
H  0.833  0.362  0.525
Se  0.223  0.638  0.914
Se  0.223  0.862  0.414
Se  0.777  0.138  0.586
Se  0.777  0.362  0.086
O  0.062  0.746  0.903
O  0.062  0.754  0.403
O  0.107  0.554  0.778
O  0.107  0.946  0.278
O  0.216  0.566  0.517
O  0.216  0.934  0.017
O  0.240  0.578  0.075
O  0.240  0.922  0.575
O  0.328  0.109  0.831
O  0.328  0.391  0.331
O  0.468  0.675  0.893
O  0.468  0.825  0.393
O  0.474  0.115  0.170
O  0.474  0.385  0.670
O  0.526  0.615  0.330
O  0.526  0.885  0.830
O  0.532  0.175  0.607
O  0.532  0.325  0.107
O  0.672  0.609  0.669
O  0.672  0.891  0.169
O  0.760  0.078  0.425
O  0.760  0.422  0.925
O  0.784  0.066  0.983
O  0.784  0.434  0.483
O  0.893  0.054  0.722
O  0.893  0.446  0.222
O  0.938  0.246  0.597
O  0.938  0.254  0.097